DFT (GGA+U) results for a relaxed TiMnZnO4 crystal.

a = 5.9420 Å, b = 6.0296 Å, c = 8.4345 Å
α = 90.00°, β = 90.00°, γ = 90.00°
Last column: nearest neighbours and their distance in Å.
Space group Imma (No. 74)
Asymmetric unit:
Ti 0.2500 0.2500 0.2500 [4 per cell]  6 O 2.03-2.04
Mn 0.0000 0.0000 0.0000 [4 per cell]  6 O 2.02
Zn 0.0000 0.2500 0.6262 [4 per cell]  4 O 1.98-1.99
O 0.0000 0.0185 0.2386 [8 per cell]  1 Zn 1.98, 1 Mn 2.02, 2 Ti 2.04
O 0.2258 0.2500 0.0095 [8 per cell]  1 Zn 1.99, 2 Mn 2.02, 1 Ti 2.03

M_tot, Bohr magnetons per cell: 3.98
Total energy, eV per atom: -7.07